1.
# GGA-PBE TaIr2Os, relaxed
data_TaIr2Os
_space_group_name_H-M_alt 'C 1 2/m 1'
_space_group_IT_number 12
_space_group_name_Hall '-C 2y'
_cell_length_a 9.2543
_cell_length_b 2.8163
_cell_length_c 4.7682
_cell_angle_alpha 90.00
_cell_angle_beta 100.59
_cell_angle_gamma 90.00
loop_
_atom_site_label
_atom_site_type_symbol
_atom_site_fract_x
_atom_site_fract_y
_atom_site_fract_z
Ta1 Ta 0.0000 0.0000 0.0000
Ir1 Ir 0.2477 0.0000 0.7406
Os1 Os 0.0000 0.5000 0.5000
# formation energy: -0.243 eV/atom
# density of states at the Fermi level: 0.872 states/eV per atom
# calculated volume: 15.3 Å³/atom
# excess energy over the best structure of this formula in the dataset: 0.2705 eV per atom
# E: -10.44 eV per atom

---

2.
# GGA-PBE Ta2IrOs, relaxed
data_Ta2IrOs
_space_group_name_H-M_alt 'P 4/m m m'
_space_group_IT_number 123
_space_group_name_Hall '-P 4 2'
_cell_length_a 2.9777
_cell_length_b 2.9777
_cell_length_c 7.3502
_cell_angle_alpha 90.00
_cell_angle_beta 90.00
_cell_angle_gamma 90.00
loop_
_atom_site_label
_atom_site_type_symbol
_atom_site_fract_x
_atom_site_fract_y
_atom_site_fract_z
Ta1 Ta 0.0000 0.0000 0.2422
Ir1 Ir 0.5000 0.5000 0.5000
Os1 Os 0.5000 0.5000 0.0000
# formation energy: -0.377 eV/atom
# density of states at the Fermi level: 1.046 states/eV per atom
# calculated volume: 16.3 Å³/atom
# E: -11.33 eV per atom

---

3.
# GGA-PBE Ta2IrOs, relaxed
data_Ta2IrOs
_space_group_name_H-M_alt 'C m m m'
_space_group_IT_number 65
_space_group_name_Hall '-C 2 2'
_cell_length_a 5.9150
_cell_length_b 7.3974
_cell_length_c 2.9671
_cell_angle_alpha 90.00
_cell_angle_beta 90.00
_cell_angle_gamma 90.00
loop_
_atom_site_label
_atom_site_type_symbol
_atom_site_fract_x
_atom_site_fract_y
_atom_site_fract_z
Ta1 Ta 0.2500 0.2500 0.0000
Ir1 Ir 0.0000 0.0000 0.5000
Os1 Os 0.0000 0.5000 0.5000
# formation energy: -0.388 eV/atom
# density of states at the Fermi level: 0.909 states/eV per atom
# calculated volume: 16.2 Å³/atom
# E: -11.34 eV per atom

---

4.
# GGA-PBE TaIrOs2, relaxed
data_TaIrOs2
_space_group_name_H-M_alt 'F m m m'
_space_group_IT_number 69
_space_group_name_Hall '-F 2 2'
_cell_length_a 5.5427
_cell_length_b 5.5541
_cell_length_c 7.9004
_cell_angle_alpha 90.00
_cell_angle_beta 90.00
_cell_angle_gamma 90.00
loop_
_atom_site_label
_atom_site_type_symbol
_atom_site_fract_x
_atom_site_fract_y
_atom_site_fract_z
Ta1 Ta 0.0000 0.0000 0.0000
Ir1 Ir 0.0000 0.0000 0.5000
Os1 Os 0.2500 0.2500 0.2500
# formation energy: -0.217 eV/atom
# density of states at the Fermi level: 0.812 states/eV per atom
# calculated volume: 15.2 Å³/atom
# excess energy over the best structure of this formula in the dataset: 0.1140 eV per atom
# E: -11.01 eV per atom

---

5.
# GGA-PBE TaIrOs2, relaxed
data_TaIrOs2
_space_group_name_H-M_alt 'I -4 2 d'
_space_group_IT_number 122
_space_group_name_Hall 'I -4 2bw'
_cell_length_a 3.8680
_cell_length_b 3.8680
_cell_length_c 18.1601
_cell_angle_alpha 90.00
_cell_angle_beta 90.00
_cell_angle_gamma 90.00
loop_
_atom_site_label
_atom_site_type_symbol
_atom_site_fract_x
_atom_site_fract_y
_atom_site_fract_z
Ta1 Ta 0.0000 0.0000 0.0000
Ir1 Ir 0.0000 0.0000 0.5000
Os1 Os 0.2122 0.2500 0.6250
# formation energy: 0.485 eV/atom
# density of states at the Fermi level: 1.046 states/eV per atom
# calculated volume: 17.0 Å³/atom
# excess energy over the best structure of this formula in the dataset: 0.8164 eV per atom
# E: -10.31 eV per atom

---

6.
# GGA-PBE Ta2IrOs, relaxed
data_Ta2IrOs
_space_group_name_H-M_alt 'I -4 m 2'
_space_group_IT_number 119
_space_group_name_Hall 'I -4 -2'
_cell_length_a 3.9173
_cell_length_b 3.9173
_cell_length_c 8.4549
_cell_angle_alpha 90.00
_cell_angle_beta 90.00
_cell_angle_gamma 90.00
loop_
_atom_site_label
_atom_site_type_symbol
_atom_site_fract_x
_atom_site_fract_y
_atom_site_fract_z
Ta1 Ta 0.0000 0.0000 0.0000
Ta2 Ta 0.0000 0.5000 0.2500
Ir1 Ir 0.0000 0.0000 0.5000
Os1 Os 0.0000 0.5000 0.7500
# formation energy: -0.332 eV/atom
# density of states at the Fermi level: 0.606 states/eV per atom
# calculated volume: 16.2 Å³/atom
# E: -11.28 eV per atom

---

7.
# GGA-PBE TaIr2Os, relaxed
data_TaIr2Os
_space_group_name_H-M_alt 'I -4 m 2'
_space_group_IT_number 119
_space_group_name_Hall 'I -4 -2'
_cell_length_a 3.9374
_cell_length_b 3.9374
_cell_length_c 7.8451
_cell_angle_alpha 90.00
_cell_angle_beta 90.00
_cell_angle_gamma 90.00
loop_
_atom_site_label
_atom_site_type_symbol
_atom_site_fract_x
_atom_site_fract_y
_atom_site_fract_z
Ta1 Ta 0.0000 0.0000 0.0000
Ir1 Ir 0.0000 0.0000 0.5000
Ir2 Ir 0.0000 0.5000 0.2500
Os1 Os 0.0000 0.5000 0.7500
# formation energy: -0.371 eV/atom
# density of states at the Fermi level: 0.827 states/eV per atom
# calculated volume: 15.2 Å³/atom
# excess energy over the best structure of this formula in the dataset: 0.1424 eV per atom
# E: -10.57 eV per atom

---

8.
# GGA-PBE TaIrOs2, relaxed
data_TaIrOs2
_space_group_name_H-M_alt 'P 4/m m m'
_space_group_IT_number 123
_space_group_name_Hall '-P 4 2'
_cell_length_a 2.7726
_cell_length_b 2.7726
_cell_length_c 7.9560
_cell_angle_alpha 90.00
_cell_angle_beta 90.00
_cell_angle_gamma 90.00
loop_
_atom_site_label
_atom_site_type_symbol
_atom_site_fract_x
_atom_site_fract_y
_atom_site_fract_z
Ta1 Ta 0.0000 0.0000 0.0000
Ir1 Ir 0.0000 0.0000 0.5000
Os1 Os 0.5000 0.5000 0.2615
# formation energy: -0.003 eV/atom
# density of states at the Fermi level: 1.063 states/eV per atom
# calculated volume: 15.3 Å³/atom
# excess energy over the best structure of this formula in the dataset: 0.3281 eV per atom
# E: -10.80 eV per atom

---

9.
# GGA-PBE TaIrOs2, relaxed
data_TaIrOs2
_space_group_name_H-M_alt 'P 4/m m m'
_space_group_IT_number 123
_space_group_name_Hall '-P 4 2'
_cell_length_a 3.9146
_cell_length_b 3.9146
_cell_length_c 3.9477
_cell_angle_alpha 90.00
_cell_angle_beta 90.00
_cell_angle_gamma 90.00
loop_
_atom_site_label
_atom_site_type_symbol
_atom_site_fract_x
_atom_site_fract_y
_atom_site_fract_z
Ta1 Ta 0.0000 0.0000 0.0000
Ir1 Ir 0.5000 0.5000 0.0000
Os1 Os 0.0000 0.5000 0.5000
# formation energy: -0.331 eV/atom
# density of states at the Fermi level: 0.832 states/eV per atom
# calculated volume: 15.1 Å³/atom
# excess energy over the best structure of this formula in the dataset: 0.0000 eV per atom
# E: -11.12 eV per atom

---

10.
# GGA-PBE Ta4IrOs6, relaxed
data_Ta4IrOs6
_space_group_name_H-M_alt 'C c c e'
_space_group_IT_number 68
_cell_length_a 9.1427
_cell_length_b 17.5297
_cell_length_c 5.0092
_cell_angle_alpha 90.00
_cell_angle_beta 90.00
_cell_angle_gamma 90.00
loop_
_space_group_symop_operation_xyz
'x,y,z'
'-x,-y,-z'
'-x+1/2,-y,z'
'x+1/2,y,-z'
'x+1/2,-y,-z+1/2'
'-x+1/2,y,z+1/2'
'-x,y,-z+1/2'
'x,-y,z+1/2'
'x+1/2,y+1/2,z'
'-x+1/2,-y+1/2,-z'
'-x,-y+1/2,z'
'x,y+1/2,-z'
'x,-y+1/2,-z+1/2'
'-x,y+1/2,z+1/2'
'-x+1/2,y+1/2,-z+1/2'
'x+1/2,-y+1/2,z+1/2'
loop_
_atom_site_label
_atom_site_type_symbol
_atom_site_fract_x
_atom_site_fract_y
_atom_site_fract_z
Ta1 Ta 0.1249 0.1315 0.0352
Ir1 Ir 0.0000 0.2500 0.2500
Os1 Os 0.0000 0.0203 0.7500
Os2 Os 0.1966 0.2500 0.7500
Os3 Os 0.2500 0.0000 0.0007
# formation energy: 0.456 eV/atom
# density of states at the Fermi level: 0.787 states/eV per atom
# calculated volume: 18.2 Å³/atom
# E: -10.78 eV per atom

---

11.
# GGA-PBE Ta2Ir2Os, relaxed
data_Ta2Ir2Os
_space_group_name_H-M_alt 'P 4/m b m'
_space_group_IT_number 127
_space_group_name_Hall '-P 4 2ab'
_cell_length_a 7.4033
_cell_length_b 7.4033
_cell_length_c 3.0067
_cell_angle_alpha 90.00
_cell_angle_beta 90.00
_cell_angle_gamma 90.00
loop_
_atom_site_label
_atom_site_type_symbol
_atom_site_fract_x
_atom_site_fract_y
_atom_site_fract_z
Ta1 Ta 0.1715 0.3285 0.0000
Ir1 Ir 0.1303 0.6303 0.5000
Os1 Os 0.0000 0.0000 0.5000
# formation energy: -0.195 eV/atom
# density of states at the Fermi level: 1.062 states/eV per atom
# calculated volume: 16.5 Å³/atom
# E: -10.73 eV per atom

---

12.
# GGA-PBE TaIrOs2, relaxed
data_TaIrOs2
_space_group_name_H-M_alt 'P 4 m m'
_space_group_IT_number 99
_space_group_name_Hall 'P 4 -2'
_cell_length_a 2.7851
_cell_length_b 2.7851
_cell_length_c 7.8979
_cell_angle_alpha 90.00
_cell_angle_beta 90.00
_cell_angle_gamma 90.00
loop_
_atom_site_label
_atom_site_type_symbol
_atom_site_fract_x
_atom_site_fract_y
_atom_site_fract_z
Ta1 Ta 0.0000 0.0000 0.0000
Ir1 Ir 0.5000 0.5000 0.2567
Os1 Os 0.0000 0.0000 0.5036
Os2 Os 0.5000 0.5000 0.7300
# formation energy: -0.142 eV/atom
# density of states at the Fermi level: 0.908 states/eV per atom
# calculated volume: 15.3 Å³/atom
# excess energy over the best structure of this formula in the dataset: 0.1892 eV per atom
# E: -10.94 eV per atom

---

13.
# GGA-PBE Ta4IrOs, relaxed
data_Ta4IrOs
_space_group_name_H-M_alt 'F -4 3 m'
_space_group_IT_number 216
_space_group_name_Hall 'F -4 2 3'
_cell_length_a 7.4589
_cell_length_b 7.4589
_cell_length_c 7.4589
_cell_angle_alpha 90.00
_cell_angle_beta 90.00
_cell_angle_gamma 90.00
loop_
_atom_site_label
_atom_site_type_symbol
_atom_site_fract_x
_atom_site_fract_y
_atom_site_fract_z
Ta1 Ta 0.1255 0.1255 0.1255
Ir1 Ir 0.2500 0.2500 0.7500
Os1 Os 0.0000 0.0000 0.5000
# formation energy: 0.328 eV/atom
# density of states at the Fermi level: 0.866 states/eV per atom
# calculated volume: 17.3 Å³/atom
# E: -10.92 eV per atom